# Cd6Pd3Au

Cd6Pd3Au after structural relaxation (GGA-PBE, the Alexandria database).

Total magnetic moment = 0.00 μB/f.u.
ΔE_f = -198 meV/atom
Crystal system = monoclinic
ΔE to the lowest computed polymorph = 0.0857 eV per atom
Symmetry = P2_1/c

a b c (Å): 7.3397 6.9233 10.7591
angles (deg): 90.00 132.21 90.00
Atoms (fractional coordinates):
Cd 0.0284 0.0997 0.2541
Cd 0.0284 0.4003 0.7541
Cd 0.2115 0.1453 0.0664
Cd 0.2115 0.3547 0.5664
Cd 0.4092 0.6382 0.0673
Cd 0.4092 0.8618 0.5673
Cd 0.5908 0.1382 0.4327
Cd 0.5908 0.3618 0.9327
Cd 0.7885 0.6453 0.4336
Cd 0.7885 0.8547 0.9336
Cd 0.9716 0.5997 0.2459
Cd 0.9716 0.9003 0.7459
Pd 0.0000 0.0000 0.5000
Pd 0.0000 0.5000 0.0000
Pd 0.2978 0.6927 0.7533
Pd 0.2978 0.8073 0.2533
Pd 0.7022 0.1927 0.7467
Pd 0.7022 0.3073 0.2467
Au 0.5000 0.0000 0.0000
Au 0.5000 0.5000 0.5000

---

# Cd4Pd3Au3

Cd4Pd3Au3 after structural relaxation (GGA-PBE, the Alexandria database).

Total magnetic moment = 0.00 μB/f.u.
ΔE_f = -150 meV/atom
Crystal system = cubic
Symmetry = I-43d

a b c (Å): 7.9734 7.9734 7.9734
angles (deg): 109.47 109.47 109.47
Atoms (fractional coordinates):
Cd 0.0000 0.2386 0.5000
Cd 0.0000 0.7386 0.5000
Cd 0.2386 0.5000 0.0000
Cd 0.2614 0.2614 0.2614
Cd 0.5000 0.0000 0.2386
Cd 0.5000 0.0000 0.7386
Cd 0.7386 0.5000 0.0000
Cd 0.7614 0.7614 0.7614
Pd 0.1250 0.7500 0.8750
Pd 0.2500 0.6250 0.3750
Pd 0.3750 0.2500 0.6250
Pd 0.6250 0.3750 0.2500
Pd 0.7500 0.8750 0.1250
Pd 0.8750 0.1250 0.7500
Au 0.1250 0.8750 0.2500
Au 0.2500 0.1250 0.8750
Au 0.3750 0.6250 0.7500
Au 0.6250 0.7500 0.3750
Au 0.7500 0.3750 0.6250
Au 0.8750 0.2500 0.1250

---

# PmCdPdAu

PmCdPdAu after structural relaxation (GGA-PBE, the Alexandria database).

Total magnetic moment = 0.00 μB/f.u.
ΔE_f = -642 meV/atom
Crystal system = cubic
Symmetry = F-43m

a b c (Å): 4.9534 4.9534 4.9534
angles (deg): 60.00 60.00 60.00
Atoms (fractional coordinates):
Pm 0.0000 0.0000 0.0000
Cd 0.5000 0.5000 0.5000
Pd 0.2500 0.2500 0.2500
Au 0.7500 0.7500 0.7500

---

# Pm4CdPdAu2

Pm4CdPdAu2 after structural relaxation (GGA-PBE, the Alexandria database).

Total magnetic moment = 0.00 μB/f.u.
ΔE_f = -663 meV/atom
Crystal system = trigonal
Symmetry = R-3m

a b c (Å): 9.0478 9.0478 9.0478
angles (deg): 33.65 33.65 33.65
Atoms (fractional coordinates):
Pm 0.1185 0.1185 0.1185
Pm 0.3696 0.3696 0.3696
Pm 0.6304 0.6304 0.6304
Pm 0.8815 0.8815 0.8815
Cd 0.5000 0.5000 0.5000
Pd 0.0000 0.0000 0.0000
Au 0.2410 0.2410 0.2410
Au 0.7590 0.7590 0.7590

---

# PrCdPdAu

PrCdPdAu after structural relaxation (GGA-PBE, the Alexandria database).

Total magnetic moment = 0.00 μB/f.u.
ΔE_f = -613 meV/atom
Crystal system = cubic
Symmetry = F-43m

a b c (Å): 5.0026 5.0026 5.0026
angles (deg): 60.00 60.00 60.00
Atoms (fractional coordinates):
Pr 0.0000 0.0000 0.0000
Cd 0.5000 0.5000 0.5000
Pd 0.7500 0.7500 0.7500
Au 0.2500 0.2500 0.2500

---

# Pr2CdPd12Au3

Pr2CdPd12Au3 after structural relaxation (GGA-PBE, the Alexandria database).

Total magnetic moment = 0.00 μB/f.u.
ΔE_f = -312 meV/atom
Crystal system = trigonal
Symmetry = R-3m

a b c (Å): 7.0146 7.0146 7.0146
angles (deg): 82.04 82.04 82.04
Atoms (fractional coordinates):
Pr 0.2027 0.2027 0.2027
Pr 0.7973 0.7973 0.7973
Cd 0.5000 0.5000 0.5000
Pd 0.0920 0.0920 0.6284
Pd 0.0920 0.6284 0.0920
Pd 0.2096 0.7009 0.7009
Pd 0.2991 0.2991 0.7904
Pd 0.2991 0.7904 0.2991
Pd 0.3716 0.9080 0.9080
Pd 0.6284 0.0920 0.0920
Pd 0.7009 0.2096 0.7009
Pd 0.7009 0.7009 0.2096
Pd 0.7904 0.2991 0.2991
Pd 0.9080 0.3716 0.9080
Pd 0.9080 0.9080 0.3716
Au 0.0000 0.5000 0.5000
Au 0.5000 0.0000 0.5000
Au 0.5000 0.5000 0.0000